# 1
The following is a PBE calculation of Ti6Tl2H after structural relaxation, from Alexandria.

The value obtained for the density of states at the Fermi level is 32.07 states/eV per cell. For the energy above the lowest structure with this stoichiometry, the calculation gives 0.000 eV/atom. As for the total moment: 0.000 μB/f.u.

The space group is Fm-3m (No. 225) and the conventional cell measures 8.3607, 8.3607 and 8.3607 Å, with angles of 90.00, 90.00 and 90.00 degrees. The distinct sites, in fractional coordinates, are Ti at (0.0000, 0.0000, 0.2503), Tl at (0.2500, 0.2500, 0.2500) and H at (0.0000, 0.0000, 0.0000).


# 2
The following is a PBE calculation of Ti3TlH after structural relaxation, from Alexandria.

The value obtained for the density of states at the Fermi level is 8.94 states/eV per cell. As for the total moment: 0.000 μB/f.u. As for the total energy: -6.0031 eV/atom.

The space group is Pm (No. 6) and the conventional cell measures 4.8796, 6.3896 and 4.8949 Å, with angles of 90.00, 97.17 and 90.00 degrees. The distinct sites, in fractional coordinates, are Ti at (0.0000, 0.0000, 0.0000), Ti at (0.0223, 0.2367, 0.5163), Ti at (0.5062, 0.2413, 0.9842), Ti at (0.5263, 0.0000, 0.5191), Tl at (0.0079, 0.5000, 0.0130), Tl at (0.5180, 0.5000, 0.4892), H at (0.3766, 0.0000, 0.1447) and H at (0.8487, 0.0000, 0.3366).


# 3
The following is a PBE calculation of Ti3TlH after structural relaxation, from Alexandria.

The value obtained for the density of states at the Fermi level is 20.81 states/eV per cell. As for the total moment: 0.000 μB/f.u. As for the total energy: -4.9972 eV/atom.

The space group is I-4m2 (No. 119) and the conventional cell measures 4.5269, 4.5269 and 21.8027 Å, with angles of 90.00, 90.00 and 90.00 degrees. The distinct sites, in fractional coordinates, are Ti at (0.0000, 0.0000, 0.1802), Ti at (0.0000, 0.2538, 0.6255), Tl at (0.0000, 0.0000, 0.5000), Tl at (0.0000, 0.5000, 0.7500) and H at (0.0000, 0.5000, 0.1454).


# 4
The following is a PBE calculation of Ti3TlH after structural relaxation, from Alexandria.

The value obtained for the density of states at the Fermi level is 6.86 states/eV per cell. As for the total moment: 0.000 μB/f.u. As for the total energy: -5.4588 eV/atom.

The space group is P4mm (No. 99) and the conventional cell measures 3.6478, 3.6478 and 7.5387 Å, with angles of 90.00, 90.00 and 90.00 degrees. The distinct sites, in fractional coordinates, are Ti at (0.0000, 0.0000, 0.0000), Ti at (0.0000, 0.5000, 0.7235), Tl at (0.0000, 0.0000, 0.3811) and H at (0.5000, 0.5000, 0.6281).


# 5
The following is a PBE calculation of Ti3TlH3 after structural relaxation, from Alexandria.

The value obtained for the density of states at the Fermi level is 9.85 states/eV per cell. As for the total moment: 0.911 μB/f.u. As for the total energy: -5.4844 eV/atom.

The space group is Pm-3n (No. 223) and the conventional cell measures 5.4063, 5.4063 and 5.4063 Å, with angles of 90.00, 90.00 and 90.00 degrees. The distinct sites, in fractional coordinates, are Ti at (0.0000, 0.2500, 0.5000), Tl at (0.0000, 0.0000, 0.0000) and H at (0.0000, 0.5000, 0.2500).


# 6
The following is a PBE calculation of Ti3TlH after structural relaxation, from Alexandria.

The value obtained for the density of states at the Fermi level is 23.88 states/eV per cell. As for the total moment: 0.000 μB/f.u. As for the total energy: -5.9264 eV/atom.

The space group is R-3c (No. 167, hexagonal axes) and the conventional cell measures 7.3786, 7.3786 and 9.6404 Å, with angles of 90.00, 90.00 and 120.00 degrees. The distinct sites, in fractional coordinates, are Ti at (0.0000, 0.2452, 0.2500), Tl at (0.0000, 0.0000, 0.0000) and H at (0.0000, 0.0000, 0.2500).


# 7
The following is a PBE calculation of Ti3TlH after structural relaxation, from Alexandria.

The value obtained for the density of states at the Fermi level is 13.54 states/eV per cell. As for the total moment: 0.000 μB/f.u. As for the total energy: -5.9990 eV/atom.

The space group is P2 (No. 3) and the conventional cell measures 4.8168, 6.5009 and 4.8245 Å, with angles of 90.00, 90.11 and 90.00 degrees. The distinct sites, in fractional coordinates, are Ti at (0.2487, 0.0000, 0.2468), Ti at (0.2500, 0.7644, 0.7664), Ti at (0.2514, 0.5288, 0.2467), Tl at (0.2500, 0.2643, 0.7495), H at (0.0000, 0.6570, 0.5000) and H at (0.5000, 0.8705, 0.5000).


# 8
The following is a PBE calculation of Ti3TlH after structural relaxation, from Alexandria.

The value obtained for the density of states at the Fermi level is 22.03 states/eV per cell. As for the total moment: 0.004 μB/f.u. As for the total energy: -5.7081 eV/atom.

The space group is C2/m (No. 12) and the conventional cell measures 15.3463, 2.9305 and 8.7166 Å, with angles of 90.00, 122.67 and 90.00 degrees. The distinct sites, in fractional coordinates, are Ti at (0.0217, 0.0000, 0.3768), Ti at (0.1617, 0.5000, 0.3458), Ti at (0.1860, 0.0000, 0.7391), Tl at (0.1010, 0.5000, 0.9655) and H at (0.1805, 0.0000, 0.5063).